No. 1
First-principles (GGA-PBE) data for a relaxed structure of Ag7Hg2Pd3, as listed in the Alexandria database.

Summary:
Uncorrected energy, eV/atom: -2.942
Theoretical density, g/cm3: 11.04

Unit cell a=2.9330 b=4.7056 c=16.1339 alpha=94.42 beta=90.00 gamma=90.00
Fractional positions:
Ag: 0.5000 0.7402 0.4633
Ag: 0.5000 0.2598 0.5367
Ag: 0.0000 0.6598 0.1399
Ag: 0.0000 0.0000 0.0000
Ag: 0.0000 0.3402 0.8601
Ag: 0.5000 0.8270 0.8175
Ag: 0.5000 0.1730 0.1825
Hg: 0.5000 0.7054 0.2957
Hg: 0.5000 0.2946 0.7043
Pd: 0.5000 0.5000 0.0000
Pd: 0.0000 0.2228 0.3719
Pd: 0.0000 0.7772 0.6281

***

No. 2
First-principles (GGA-PBE) data for a relaxed structure of TbEr6In4, as listed in the Alexandria database.

Summary:
Uncorrected energy, eV/atom: -3.988
Theoretical density, g/cm3: 7.87

Unit cell a=7.9478 b=7.9478 c=7.9478 alpha=86.15 beta=122.25 gamma=122.25
Each line ends with the local moment (μB).
Fractional positions:
Tb: 0.0000 0.0000 0.0000  0.15
Er: 0.0000 0.9009 0.5268  0.08
Er: 0.0000 0.5268 0.9009  0.08
Er: 0.6260 0.0991 0.0991  0.08
Er: 0.5000 0.0000 0.5000  0.02
Er: 0.3740 0.4732 0.4732  0.08
Er: 0.5000 0.5000 0.0000  0.02
In: 0.0000 0.2628 0.6028  0.01
In: 0.6600 0.3972 0.3972  0.01
In: 0.0000 0.6028 0.2628  0.01
In: 0.3400 0.7372 0.7372  0.01

***

No. 3
First-principles (GGA-PBE) data for a relaxed structure of CsZr2Sn2, as listed in the Alexandria database.

Summary:
Uncorrected energy, eV/atom: -5.207
E above lowest polymorph, meV per atom: 94
Theoretical density, g/cm3: 4.90

Unit cell a=5.0143 b=5.0143 c=8.2543 alpha=72.32 beta=72.32 gamma=90.00
Fractional positions:
Cs: 0.0000 0.0000 0.0000
Sn: 0.3493 0.3493 0.3014
Sn: 0.6507 0.6507 0.6986
Zr: 0.7500 0.2500 0.5000
Zr: 0.2500 0.7500 0.5000

***

No. 4
First-principles (GGA-PBE) data for a relaxed structure of LiHf2ReHg, as listed in the Alexandria database.

Summary:
Uncorrected energy, eV/atom: -5.153
Theoretical density, g/cm3: 9.12

Unit cell a=5.2126 b=5.0316 c=5.2126 alpha=90.00 beta=90.00 gamma=90.00
Each line ends with the local moment (μB).
Fractional positions:
Re: 0.0000 0.5000 0.0000  1.47
Hf: 0.0000 0.0000 0.5000  -0.11
Hf: 0.5000 0.0000 0.0000  -0.15
Hg: 0.0000 0.0000 0.0000  0.03
Li: 0.5000 0.5000 0.5000  -0.02

***

No. 5
First-principles (GGA-PBE) data for a relaxed structure of SrZnCdIn2, as listed in the Alexandria database.

Summary:
Uncorrected energy, eV/atom: -2.110
Theoretical density, g/cm3: 6.13

Unit cell a=4.7295 b=4.7295 c=6.8646 alpha=110.15 beta=110.15 gamma=90.00
Fractional positions:
Sr: 0.0000 0.0000 0.0000
Zn: 0.7500 0.2500 0.5000
Cd: 0.2500 0.7500 0.5000
In: 0.6184 0.6184 0.2367
In: 0.3816 0.3816 0.7633

***

No. 6
First-principles (GGA-PBE) data for a relaxed structure of Tl3In8Bi4, as listed in the Alexandria database.

Summary:
Uncorrected energy, eV/atom: -2.920
Theoretical density, g/cm3: 8.24

Unit cell a=11.0487 b=11.0487 c=11.0487 alpha=60.00 beta=60.00 gamma=60.00
Fractional positions:
Tl: 0.7069 0.7069 0.2931
Tl: 0.2931 0.2931 0.7069
Tl: 0.7069 0.2931 0.2931
Tl: 0.2931 0.7069 0.7069
Tl: 0.7069 0.2931 0.7069
Tl: 0.2931 0.7069 0.2931
In: 0.6422 0.1193 0.1193
In: 0.3578 0.8807 0.8807
In: 0.1193 0.1193 0.6422
In: 0.1193 0.1193 0.1193
In: 0.8807 0.8807 0.3578
In: 0.8807 0.8807 0.8807
In: 0.1193 0.6422 0.1193
In: 0.8807 0.3578 0.8807
In: 0.0147 0.3284 0.3284
In: 0.9853 0.6716 0.6716
In: 0.3284 0.3284 0.0147
In: 0.3284 0.3284 0.3284
In: 0.6716 0.6716 0.9853
In: 0.6716 0.6716 0.6716
In: 0.3284 0.0147 0.3284
In: 0.6716 0.9853 0.6716
Bi: 0.0000 0.0000 0.0000
Bi: 0.5000 0.5000 0.0000
Bi: 0.0000 0.0000 0.5000
Bi: 0.5000 0.0000 0.0000
Bi: 0.0000 0.5000 0.5000
Bi: 0.5000 0.0000 0.5000
Bi: 0.0000 0.5000 0.0000
Bi: 0.5000 0.5000 0.5000

***

No. 7
First-principles (GGA-PBE) data for a relaxed structure of Sm5Tl4Ag, as listed in the Alexandria database.

Summary:
Uncorrected energy, eV/atom: -3.956
Theoretical density, g/cm3: 9.91

Unit cell a=3.6825 b=3.6825 c=20.7338 alpha=90.00 beta=90.00 gamma=90.00
Each line ends with the local moment (μB).
Fractional positions:
Sm: 0.5000 0.5000 0.0911  0.07
Sm: 0.5000 0.5000 0.2952  -0.01
Sm: 0.5000 0.5000 0.5000  0.01
Sm: 0.5000 0.5000 0.7048  -0.01
Sm: 0.5000 0.5000 0.9089  0.07
Tl: 0.0000 0.0000 0.1918  0.00
Tl: 0.0000 0.0000 0.3974  0.00
Tl: 0.0000 0.0000 0.6026  0.00
Tl: 0.0000 0.0000 0.8082  0.00
Ag: 0.0000 0.0000 0.0000  0.01

***

No. 8
First-principles (GGA-PBE) data for a relaxed structure of NaHf2PtW, as listed in the Alexandria database.

Summary:
Uncorrected energy, eV/atom: -6.951
Theoretical density, g/cm3: 10.50

Unit cell a=5.0190 b=4.7637 c=5.0190 alpha=90.00 beta=90.00 gamma=90.00
Each line ends with the local moment (μB).
Fractional positions:
Na: 0.0000 0.5000 0.0000  0.00
Hf: 0.0000 0.0000 0.5000  -0.06
Hf: 0.5000 0.0000 0.0000  -0.12
W: 0.5000 0.5000 0.5000  1.25
Pt: 0.0000 0.0000 0.0000  0.04